GeMoP2O: optimized geometry, GGA+U.

symmetry	P4/mmm
E_tot	-5.371	eV per atom
V	91	Å³/cell
magnetization	0.54	μB/f.u.

The structure in POSCAR format:
```
GeMoP2O
1.0
4.904 0.000 0.000
0.000 4.904 0.000
0.000 0.000 3.782
Ge Mo P O
1 1 2 1
Direct
0.500 0.500 0.500
0.000 0.000 0.000
0.500 0.000 0.000
0.000 0.500 0.000
0.000 0.000 0.500
```